--- one ---
First-principles (PBE) data for crystalline ScTl4 at its relaxed geometry, as listed in Alexandria.

Structure (POSCAR):
```
ScTl4
1.0
8.892 -0.243 0.934
6.299 -2.857 5.670
-7.519 -1.092 -4.719
Tl Sc
4 1
Direct
0.750 0.250 0.500
0.410 0.410 0.000
0.250 0.750 0.500
0.590 0.590 0.000
0.000 0.000 0.000
```

Output
The calculation puts the total moment at 0.000 μB per formula unit.



--- two ---
First-principles (PBE) data for crystalline ScTl4 at its relaxed geometry, as listed in Alexandria.

Structure (POSCAR):
```
ScTl4
1.0
-3.890 3.890 2.234
3.890 -3.890 2.234
3.890 3.890 -2.234
Sc Tl
1 4
Direct
0.000 0.000 0.000
0.400 0.206 0.606
0.600 0.794 0.394
0.206 0.600 0.806
0.794 0.400 0.194
```

Output
The calculation puts the total moment at 0.000 μB per formula unit.



--- three ---
First-principles (PBE) data for crystalline ScTl4 at its relaxed geometry, as listed in Alexandria.

Structure (POSCAR):
```
ScTl4
1.0
5.678 0.000 0.000
0.000 5.678 0.000
0.000 0.000 5.678
Sc Tl
1 4
Direct
0.500 0.500 0.500
0.000 0.000 0.000
0.000 0.500 0.500
0.500 0.000 0.500
0.500 0.500 0.000
```

Output
The calculation puts the total moment at 0.297 μB per formula unit.



Which of them is most stable, and which least? Most stable: two; least stable: three.



--- one ---
First-principles (PBE) data for crystalline ScTl5 at its relaxed geometry, as listed in Alexandria.

Structure (POSCAR):
```
ScTl5
1.0
3.063 -5.306 0.000
3.063 5.306 0.000
0.000 0.000 5.860
Sc Tl
1 5
Direct
0.000 0.000 0.000
0.333 0.667 0.000
0.000 0.500 0.500
0.500 0.000 0.500
0.500 0.500 0.500
0.667 0.333 0.000
```

Output
The calculation puts the total moment at 0.243 μB per formula unit.



--- two ---
First-principles (PBE) data for crystalline ScTl5 at its relaxed geometry, as listed in Alexandria.

Structure (POSCAR):
```
ScTl5
1.0
3.536 0.000 0.000
0.000 3.536 0.000
0.000 0.000 13.653
Tl Sc
5 1
Direct
0.500 0.500 0.146
0.000 0.000 0.692
0.000 0.000 0.333
0.500 0.500 0.521
0.000 0.000 0.974
0.500 0.500 0.833
```

Output
The calculation puts the total moment at 0.104 μB per formula unit.



Which of them is most stable, and which least? Most stable: two; least stable: one.



--- one ---
First-principles (PBE) data for crystalline ScTl5 at its relaxed geometry, as listed in Alexandria.

Structure (POSCAR):
```
ScTl5
1.0
-4.451 4.016 -1.860
-6.031 0.890 -1.496
-3.739 2.707 7.006
Tl Sc
5 1
Direct
0.684 0.684 0.709
0.298 0.298 0.960
0.576 0.576 0.239
0.289 0.289 0.361
0.973 0.973 0.594
0.013 0.013 0.971
```

Output
The calculation puts the total moment at 0.000 μB per formula unit.



--- two ---
First-principles (PBE) data for crystalline ScTl5 at its relaxed geometry, as listed in Alexandria.

Structure (POSCAR):
```
ScTl5
1.0
2.418 -7.645 0.000
2.418 7.645 0.000
0.000 0.000 4.509
Tl Sc
5 1
Direct
0.161 0.839 0.000
0.662 0.338 0.500
0.000 0.000 0.500
0.338 0.662 0.500
0.839 0.161 0.000
0.500 0.500 0.000
```

Output
The calculation puts the total moment at 0.000 μB per formula unit.



--- three ---
First-principles (PBE) data for crystalline ScTl5 at its relaxed geometry, as listed in Alexandria.

Structure (POSCAR):
```
ScTl5
1.0
3.002 -5.200 0.000
3.002 5.200 0.000
0.000 0.000 5.436
Tl Sc
5 1
Direct
0.333 0.667 0.500
0.677 0.000 0.000
0.000 0.677 0.000
0.667 0.333 0.500
0.323 0.323 0.000
0.000 0.000 0.500
```

Output
The calculation puts the total moment at 0.000 μB per formula unit.



--- four ---
First-principles (PBE) data for crystalline ScTl5 at its relaxed geometry, as listed in Alexandria.

Structure (POSCAR):
```
ScTl5
1.0
0.000 4.458 4.458
4.458 0.000 4.458
4.458 4.458 0.000
Tl Sc
5 1
Direct
0.625 0.625 0.125
0.125 0.625 0.625
0.625 0.625 0.625
0.625 0.125 0.625
0.250 0.250 0.250
0.000 0.000 0.000
```

Output
The calculation puts the total moment at 0.008 μB per formula unit.



Which of them is most stable, and which least? Most stable: one; least stable: four.



--- one ---
First-principles (PBE) data for crystalline Sc2Tl3 at its relaxed geometry, as listed in Alexandria.

Structure (POSCAR):
```
Sc2Tl3
1.0
-2.976 -3.168 1.135
1.971 -5.024 0.035
0.534 -1.591 5.852
Tl Sc
3 2
Direct
0.201 0.706 0.893
0.799 0.294 0.107
0.000 0.500 0.500
0.396 0.905 0.304
0.604 0.095 0.696
```

Output
The calculation puts the total moment at 0.000 μB per formula unit.



--- two ---
First-principles (PBE) data for crystalline Sc2Tl3 at its relaxed geometry, as listed in Alexandria.

Structure (POSCAR):
```
Sc2Tl3
1.0
0.000 5.357 7.533
3.033 0.000 7.533
3.033 5.357 0.000
Sc Tl
4 6
Direct
0.536 0.362 0.885
0.888 0.714 0.032
0.365 0.032 0.714
0.218 0.885 0.362
0.892 0.815 0.495
0.755 0.452 0.358
0.057 0.943 0.943
0.798 0.495 0.815
0.435 0.358 0.452
0.307 0.193 0.193
```

Output
The calculation puts the total moment at 0.000 μB per formula unit.



Which of them is most stable, and which least? Most stable: two; least stable: one.



--- one ---
First-principles (PBE) data for crystalline Sc2Tl3 at its relaxed geometry, as listed in Alexandria.

Structure (POSCAR):
```
Sc2Tl3
1.0
-2.166 11.636 -4.436
-5.334 11.003 -3.202
-2.882 12.256 -1.110
Tl Sc
3 2
Direct
0.797 0.797 0.797
0.203 0.203 0.203
0.000 0.000 0.000
0.397 0.397 0.397
0.603 0.603 0.603
```

Output
The calculation puts the total moment at 0.002 μB per formula unit.



--- two ---
First-principles (PBE) data for crystalline Sc2Tl3 at its relaxed geometry, as listed in Alexandria.

Structure (POSCAR):
```
Sc2Tl3
1.0
3.553 0.000 0.000
0.000 11.878 0.000
0.000 0.000 12.130
Tl Sc
12 8
Direct
0.250 0.268 0.247
0.250 0.609 0.570
0.750 0.109 0.930
0.250 0.531 0.865
0.750 0.469 0.135
0.750 0.391 0.430
0.250 0.232 0.747
0.250 0.969 0.365
0.750 0.732 0.753
0.750 0.031 0.635
0.250 0.891 0.070
0.750 0.768 0.253
0.250 0.189 0.496
0.250 0.574 0.321
0.250 0.311 0.996
0.750 0.689 0.004
0.750 0.426 0.679
0.750 0.811 0.504
0.750 0.074 0.179
0.250 0.926 0.821
```

Output
The calculation puts the total moment at 0.000 μB per formula unit.



Which of them is most stable, and which least? Most stable: two; least stable: one.



--- one ---
First-principles (PBE) data for crystalline Tm3Sc2Tl at its relaxed geometry, as listed in Alexandria.

Structure (POSCAR):
```
Tm3Sc2Tl
1.0
4.599 0.000 0.000
0.000 4.509 -1.525
0.000 0.080 7.666
Tm Sc Tl
3 2 1
Direct
0.500 0.829 0.658
0.500 0.171 0.342
0.500 0.500 0.000
0.000 0.334 0.669
0.000 0.666 0.331
0.000 0.000 0.000
```

Output
The calculation puts the total moment at 0.000 μB per formula unit.



--- two ---
First-principles (PBE) data for crystalline Tm3Sc2Tl at its relaxed geometry, as listed in Alexandria.

Structure (POSCAR):
```
Tm3Sc2Tl
1.0
5.997 0.000 0.000
0.000 6.701 0.684
-2.998 -0.831 8.151
Sc Tm Tl
4 6 2
Direct
0.636 0.500 0.273
0.364 0.000 0.727
0.364 0.500 0.727
0.636 0.000 0.273
0.224 0.250 0.380
0.776 0.750 0.620
0.844 0.250 0.620
0.178 0.750 0.000
0.156 0.750 0.380
0.822 0.250 0.000
0.692 0.750 0.000
0.308 0.250 0.000
```

Output
The calculation puts the total moment at 0.515 μB per formula unit.



Which of them is most stable, and which least? Most stable: one; least stable: two.



--- one ---
First-principles (PBE) data for crystalline Tm2Sc3Tl at its relaxed geometry, as listed in Alexandria.

Structure (POSCAR):
```
Tm2Sc3Tl
1.0
-3.828 -1.186 3.238
2.086 -2.756 1.457
1.957 6.518 4.701
Sc Tm Tl
3 2 1
Direct
0.500 0.500 0.000
0.500 0.827 0.654
0.500 0.173 0.346
0.000 0.664 0.327
0.000 0.336 0.673
0.000 0.000 0.000
```

Output
The calculation puts the total moment at 0.000 μB per formula unit.



--- two ---
First-principles (PBE) data for crystalline Tm2Sc3Tl at its relaxed geometry, as listed in Alexandria.

Structure (POSCAR):
```
Tm2Sc3Tl
1.0
5.876 1.967 0.000
0.787 6.146 0.000
-3.332 -4.057 9.043
Tl Sc Tm
2 6 4
Direct
0.329 0.329 0.657
0.671 0.671 0.343
0.179 0.179 0.832
0.654 0.654 0.832
0.346 0.346 0.168
0.821 0.821 0.168
0.165 0.165 0.330
0.835 0.835 0.670
0.750 0.250 0.500
0.250 0.750 0.500
0.243 0.757 0.000
0.757 0.243 0.000
```

Output
The calculation puts the total moment at 0.292 μB per formula unit.



Which of them is most stable, and which least? Most stable: two; least stable: one.



--- one ---
First-principles (PBE) data for crystalline Tm4ScTl2 at its relaxed geometry, as listed in Alexandria.

Structure (POSCAR):
```
Tm4ScTl2
1.0
4.659 0.000 0.000
0.000 6.376 -1.619
0.000 0.594 6.552
Tm Tl Sc
4 2 1
Direct
0.500 0.500 0.000
0.000 0.790 0.790
0.000 0.210 0.210
0.500 0.000 0.500
0.000 0.282 0.718
0.000 0.718 0.282
0.500 0.500 0.500
```

Output
The calculation puts the total moment at 0.000 μB per formula unit.



--- two ---
First-principles (PBE) data for crystalline Tm4ScTl2 at its relaxed geometry, as listed in Alexandria.

Structure (POSCAR):
```
Tm4ScTl2
1.0
-0.001 -1.860 5.040
-3.986 -3.182 1.688
3.077 -8.542 -0.289
Tm Tl Sc
4 2 1
Direct
0.266 0.266 0.201
0.869 0.869 0.394
0.131 0.131 0.606
0.734 0.734 0.799
0.386 0.386 0.841
0.614 0.614 0.159
0.500 0.500 0.500
```

Output
The calculation puts the total moment at 1.600 μB per formula unit.



Which of them is most stable, and which least? Most stable: one; least stable: two.



--- one ---
First-principles (PBE) data for crystalline Tm6ScTl at its relaxed geometry, as listed in Alexandria.

Structure (POSCAR):
```
Tm6ScTl
1.0
4.844 0.000 0.000
0.000 6.847 -0.042
0.000 0.045 6.847
Tm Sc Tl
6 1 1
Direct
0.000 0.744 0.256
0.000 0.255 0.255
0.500 0.500 0.000
0.000 0.745 0.745
0.000 0.256 0.744
0.500 0.000 0.500
0.500 0.500 0.500
0.500 0.000 0.000
```

Output
The calculation puts the total moment at 0.000 μB per formula unit.



--- two ---
First-principles (PBE) data for crystalline Tm6ScTl at its relaxed geometry, as listed in Alexandria.

Structure (POSCAR):
```
Tm6ScTl
1.0
6.304 -0.728 -1.355
-3.021 5.581 -1.355
-1.802 -2.664 8.437
Tm Tl Sc
6 1 1
Direct
0.741 0.168 0.746
0.168 0.741 0.746
0.318 0.318 0.746
0.832 0.259 0.254
0.682 0.682 0.254
0.259 0.832 0.254
0.000 0.000 0.000
0.500 0.500 0.500
```

Output
The calculation puts the total moment at 0.000 μB per formula unit.



Which of them is most stable, and which least? Most stable: one; least stable: two.



--- one ---
First-principles (PBE) data for crystalline Tm4ScTl at its relaxed geometry, as listed in Alexandria.

Structure (POSCAR):
```
Tm4ScTl
1.0
-0.368 -1.371 -3.210
-0.494 -3.175 1.413
-13.470 2.340 0.546
Tl Tm Sc
1 4 1
Direct
0.500 0.500 0.500
0.500 0.500 0.834
0.000 0.000 0.656
0.000 0.000 0.344
0.500 0.500 0.166
0.000 0.000 0.000
```

Output
The calculation puts the total moment at 0.000 μB per formula unit.



--- two ---
First-principles (PBE) data for crystalline Tm4ScTl at its relaxed geometry, as listed in Alexandria.

Structure (POSCAR):
```
Tm4ScTl
1.0
-6.039 1.707 -0.484
1.870 -7.864 -3.593
0.743 0.027 8.018
Tm Sc Tl
8 2 2
Direct
0.751 0.712 0.616
0.053 0.169 0.754
0.947 0.831 0.246
0.249 0.288 0.384
0.635 0.096 0.384
0.365 0.904 0.616
0.202 0.585 0.754
0.798 0.415 0.246
0.657 0.407 0.814
0.343 0.593 0.186
0.250 0.000 0.000
0.750 0.000 0.000
```

Output
The calculation puts the total moment at 0.000 μB per formula unit.



Which of them is most stable, and which least? Most stable: one; least stable: two.



--- one ---
First-principles (PBE) data for crystalline TmSc2Tl2 at its relaxed geometry, as listed in Alexandria.

Structure (POSCAR):
```
TmSc2Tl2
1.0
3.618 0.000 -0.485
0.000 5.152 0.000
-0.051 0.000 13.367
Tl Sc Tm
4 4 2
Direct
0.546 0.250 0.093
0.649 0.750 0.299
0.454 0.750 0.907
0.351 0.250 0.701
0.759 0.250 0.517
0.949 0.250 0.898
0.051 0.750 0.102
0.241 0.750 0.483
0.851 0.750 0.701
0.149 0.250 0.299
```

Output
The calculation puts the total moment at 0.000 μB per formula unit.



--- two ---
First-principles (PBE) data for crystalline TmSc2Tl2 at its relaxed geometry, as listed in Alexandria.

Structure (POSCAR):
```
TmSc2Tl2
1.0
-1.834 -1.768 2.471
-1.799 -3.192 -3.620
11.048 -8.573 2.065
Sc Tl Tm
4 4 2
Direct
0.250 0.250 0.532
0.750 0.750 0.468
0.750 0.250 0.143
0.250 0.750 0.857
0.750 0.750 0.044
0.250 0.751 0.651
0.750 0.249 0.349
0.250 0.250 0.956
0.250 0.749 0.261
0.750 0.251 0.739
```

Output
The calculation puts the total moment at 0.909 μB per formula unit.



Which of them is most stable, and which least? Most stable: one; least stable: two.